[1]
A geometry-optimized Mn4Ga3Cu2 structure. Source: the Alexandria database, functional GGA-PBE.

Results
Its size of the total moment is 13.26 μB/cell.

a b c (Å): 4.2164 4.2164 15.6771
angles (deg): 90.00 90.00 120.00
Last column: nearest neighbours and their distance in Å.
Space group P-6m2 (No. 187)
Inequivalent atoms, fractional coordinates:
Mn 0.0000 0.0000 0.0839 x2  5 Mn 2.53-2.72, 6 Ga 2.77-2.78, 3 Cu 2.77
Mn 0.0000 0.0000 0.2450 x2  5 Mn 2.53-2.76, 6 Ga 2.71-2.76, 3 Cu 2.81
Mn 0.0000 0.0000 0.4137 x2  2 Mn 2.64-2.71, 6 Cu 2.73-2.79, 6 Ga 2.78-2.79
Mn 0.3333 0.6667 0.1616 x2  5 Ga 2.44-2.60, 3 Mn 2.72
Ga 0.3333 0.6667 0.0000 x1  3 Cu 2.43, 2 Mn 2.53
Ga 0.3333 0.6667 0.3274 x2  4 Cu 2.44-2.71, 1 Mn 2.60
Ga 0.6667 0.3333 0.1693 x2  6 Mn 2.44-2.71, 2 Cu 2.59-2.65
Ga 0.6667 0.3333 0.5000 x1  5 Cu 2.43-2.59
Cu 0.3333 0.6667 0.5000 x1  5 Ga 2.43-2.71
Cu 0.6667 0.3333 0.0000 x1  5 Ga 2.43-2.65
Cu 0.6667 0.3333 0.3346 x2  5 Ga 2.44-2.59

=====

[2]
A geometry-optimized Mn2Ga2Cu structure. Source: the Alexandria database, functional GGA-PBE.

Results
Its size of the total moment is 12.43 μB/cell.

a b c (Å): 6.5105 6.5105 3.3863
angles (deg): 90.00 90.00 90.00
Last column: nearest neighbours and their distance in Å.
Space group P4/mbm (No. 127)
Inequivalent atoms, fractional coordinates:
Mn 0.1650 0.3350 0.0000 x4  6 Ga 2.48-2.60
Ga 0.1377 0.6377 0.5000 x4  6 Mn 2.48-2.60, 2 Cu 2.52, 1 Ga 2.53
Cu 0.0000 0.0000 0.5000 x2  4 Ga 2.52

=====

[3]
A geometry-optimized MnGa2Cu8 structure. Source: the Alexandria database, functional GGA-PBE.

Results
The relative energy among the computed polymorphs comes out at 0.00 eV per formula unit. Its size of the total moment is 8.73 μB/cell.

a b c (Å): 13.3223 3.7206 5.9100
angles (deg): 90.00 106.58 90.00
Last column: nearest neighbours and their distance in Å.
Space group C2/m (No. 12)
Inequivalent atoms, fractional coordinates:
Mn 0.0000 0.0000 0.0000 x2  12 Cu 2.59-2.63
Ga 0.2245 0.5000 0.6514 x4  10 Cu 2.53-2.72, 2 Ga 2.80
Cu 0.0439 0.5000 0.7281 x4  1 Ga 2.57, 9 Cu 2.59-2.65, 2 Mn 2.63
Cu 0.0905 0.0000 0.4580 x4  8 Cu 2.60-2.64, 3 Ga 2.61-2.72, 1 Mn 2.63
Cu 0.1368 0.5000 0.1887 x4  7 Cu 2.59-2.68, 3 Ga 2.60-2.65, 2 Mn 2.62
Cu 0.1798 0.0000 0.9123 x4  3 Ga 2.53-2.59, 1 Mn 2.59, 8 Cu 2.61-2.68

=====

[4]
A geometry-optimized MnGaCu structure. Source: the Alexandria database, functional GGA-PBE.

Results
Its size of the total moment is 5.61 μB/cell.

a b c (Å): 2.7724 2.7724 10.3361
angles (deg): 90.00 90.00 90.00
Last column: nearest neighbours and their distance in Å.
Space group I4mm (No. 107)
Inequivalent atoms, fractional coordinates:
Mn 0.0000 0.0000 0.0000 x2  4 Ga 2.61, 4 Cu 2.61, 4 Mn 2.77
Ga 0.0000 0.0000 0.6663 x2  4 Mn 2.61, 4 Cu 2.61, 4 Ga 2.77
Cu 0.0000 0.0000 0.3328 x2  4 Ga 2.61, 4 Mn 2.61, 4 Cu 2.77

=====

[5]
A geometry-optimized MnGa3Cu structure. Source: the Alexandria database, functional GGA-PBE.

Results
The relative energy among the computed polymorphs comes out at 0.00 eV per formula unit. Its size of the total moment is 1.62 μB/cell.

a b c (Å): 4.6087 4.6087 4.6087
angles (deg): 90.00 90.00 90.00
Last column: nearest neighbours and their distance in Å.
Space group Pm-3m (No. 221)
Inequivalent atoms, fractional coordinates:
Mn 0.0000 0.0000 0.0000 x1  6 Ga 2.30
Ga 0.0000 0.0000 0.5000 x3  2 Mn 2.30
Cu 0.5000 0.5000 0.5000 x1  12 Ga 3.26

=====

[6]
A geometry-optimized MnGaCu2 structure. Source: the Alexandria database, functional GGA-PBE.

Results
Its size of the total moment is 3.84 μB/cell.

a b c (Å): 2.9200 2.9200 6.3680
angles (deg): 90.00 90.00 90.00
Last column: nearest neighbours and their distance in Å.
Space group P4/mmm (No. 123)
Inequivalent atoms, fractional coordinates:
Mn 0.0000 0.0000 0.0000 x1  8 Cu 2.61, 4 Mn 2.92
Ga 0.0000 0.0000 0.5000 x1  8 Cu 2.61, 4 Ga 2.92
Cu 0.5000 0.5000 0.2500 x2  4 Ga 2.61, 4 Mn 2.61, 4 Cu 2.92

=====

[7]
A geometry-optimized MnGa2Cu2 structure. Source: the Alexandria database, functional GGA-PBE.

Results
Its size of the total moment is 7.07 μB/cell.

a b c (Å): 7.0553 7.0553 3.0228
angles (deg): 90.00 90.00 90.00
Last column: nearest neighbours and their distance in Å.
Space group P4/mbm (No. 127)
Inequivalent atoms, fractional coordinates:
Mn 0.0000 0.0000 0.0000 x2  4 Cu 2.79, 8 Ga 3.01, 2 Mn 3.02
Ga 0.1751 0.3249 0.5000 x4  6 Cu 2.50-2.62
Cu 0.1248 0.6248 0.0000 x4  1 Cu 2.49, 6 Ga 2.50-2.62, 2 Mn 2.79

=====

[8]
A geometry-optimized MnGa2Cu8 structure. Source: the Alexandria database, functional GGA-PBE.

Results
The relative energy among the computed polymorphs comes out at 1.35 eV per formula unit. Its size of the total moment is 8.47 μB/cell.

a b c (Å): 6.7523 11.6306 4.3957
angles (deg): 90.00 120.92 90.00
Last column: nearest neighbours and their distance in Å.
Space group C2/m (No. 12)
Inequivalent atoms, fractional coordinates:
Mn 0.0000 0.0000 0.0000 x2  8 Cu 2.50-2.76
Ga 0.0000 0.3096 0.5000 x4  8 Cu 2.46-2.58
Cu 0.0000 0.2147 0.0000 x4  2 Ga 2.46, 1 Mn 2.50, 4 Cu 2.68-2.69
Cu 0.0792 0.5000 0.8089 x4  6 Cu 2.35-2.58, 2 Ga 2.51, 1 Mn 2.52
Cu 0.2076 0.1132 0.6422 x8  6 Cu 2.41-2.69, 2 Ga 2.52-2.58

=====

[9]
A geometry-optimized MnGaCu3 structure. Source: the Alexandria database, functional GGA-PBE.

Results
The relative energy among the computed polymorphs comes out at 0.00 eV per formula unit. Its size of the total moment is 4.45 μB/cell.

a b c (Å): 4.3752 4.3752 4.3752
angles (deg): 90.00 90.00 90.00
Last column: nearest neighbours and their distance in Å.
Space group Pm-3m (No. 221)
Inequivalent atoms, fractional coordinates:
Mn 0.0000 0.0000 0.0000 x1  12 Cu 3.09
Ga 0.5000 0.5000 0.5000 x1  6 Cu 2.19
Cu 0.0000 0.5000 0.5000 x3  2 Ga 2.19

=====

[10]
A geometry-optimized MnGa2Cu6 structure. Source: the Alexandria database, functional GGA-PBE.

Results
The relative energy among the computed polymorphs comes out at 0.03 eV per formula unit. Its size of the total moment is 14.85 μB/cell.

a b c (Å): 12.1901 8.8334 4.4090
angles (deg): 90.00 98.71 90.00
Last column: nearest neighbours and their distance in Å.
Space group C2/c (No. 15)
Inequivalent atoms, fractional coordinates:
Mn 0.0000 0.1257 0.2500 x4  10 Cu 2.56-2.73
Ga 0.1614 0.3626 0.0918 x8  10 Cu 2.49-2.75
Cu 0.0570 0.3799 0.5354 x8  4 Ga 2.49-2.64, 5 Cu 2.51-2.68, 1 Mn 2.62
Cu 0.1110 0.1219 0.7970 x8  2 Ga 2.52-2.75, 5 Cu 2.52-2.68, 3 Mn 2.56-2.58
Cu 0.2260 0.1162 0.3583 x8  5 Cu 2.52-2.70, 4 Ga 2.54-2.62, 1 Mn 2.73

=====

[11]
A geometry-optimized MnGaCu2 structure. Source: the Alexandria database, functional GGA-PBE.

Results
Its size of the total moment is 2.86 μB/cell.

a b c (Å): 3.6775 3.6775 3.8312
angles (deg): 90.00 90.00 90.00
Last column: nearest neighbours and their distance in Å.
Space group P4/mmm (No. 123)
Inequivalent atoms, fractional coordinates:
Mn 0.0000 0.0000 0.0000 x1  4 Ga 2.60, 8 Cu 2.66
Ga 0.5000 0.5000 0.0000 x1  4 Mn 2.60, 8 Cu 2.66
Cu 0.0000 0.5000 0.5000 x2  4 Cu 2.60, 4 Mn 2.66, 4 Ga 2.66

=====

[12]
A geometry-optimized MnGa2Cu6 structure. Source: the Alexandria database, functional GGA-PBE.

Results
The relative energy among the computed polymorphs comes out at 0.00 eV per formula unit. Its size of the total moment is 7.66 μB/cell.

a b c (Å): 8.1923 3.7511 7.9156
angles (deg): 90.00 94.34 90.00
Last column: nearest neighbours and their distance in Å.
Space group C2/m (No. 12)
Inequivalent atoms, fractional coordinates:
Mn 0.0000 0.0000 0.0000 x2  10 Cu 2.60-2.63, 2 Ga 2.70
Ga 0.0763 0.0000 0.6738 x4  9 Cu 2.49-2.70, 1 Mn 2.70
Cu 0.1146 0.5000 0.2101 x4  6 Cu 2.54-2.65, 3 Ga 2.63-2.65, 2 Mn 2.63
Cu 0.1904 0.5000 0.8974 x4  7 Cu 2.53-2.65, 3 Mn 2.60-2.61, 2 Ga 2.70
Cu 0.2246 0.0000 0.4029 x4  5 Cu 2.44-2.54, 4 Ga 2.49-2.59

=====

[13]
A geometry-optimized MnGa2Cu2 structure. Source: the Alexandria database, functional GGA-PBE.

Results
Its size of the total moment is 4.13 μB/cell.

a b c (Å): 2.6774 18.9865 2.6560
angles (deg): 90.00 90.00 90.00
Last column: nearest neighbours and their distance in Å.
Space group Cmmm (No. 65)
Inequivalent atoms, fractional coordinates:
Mn 0.0000 0.0000 0.0000 x2  8 Ga 2.62, 4 Mn 2.66-2.68
Ga 0.0000 0.4044 0.5000 x4  4 Mn 2.62, 4 Cu 2.65, 4 Ga 2.66-2.68
Cu 0.0000 0.1933 0.0000 x4  6 Cu 2.53-2.68, 4 Ga 2.65

=====

[14]
A geometry-optimized MnGa4Cu2 structure. Source: the Alexandria database, functional GGA-PBE.

Results
Its size of the total moment is 2.29 μB/cell.

a b c (Å): 4.6399 4.6399 11.9806
angles (deg): 90.00 90.00 90.00
Last column: nearest neighbours and their distance in Å.
Space group I4/mmm (No. 139)
Inequivalent atoms, fractional coordinates:
Mn 0.0000 0.0000 0.0000 x2  6 Ga 2.32-2.34
Ga 0.0000 0.0000 0.1957 x4  1 Mn 2.34, 1 Cu 2.39
Ga 0.0000 0.5000 0.0000 x4  2 Mn 2.32
Cu 0.0000 0.0000 0.3954 x4  5 Ga 2.39-2.64, 1 Cu 2.51

=====

[15]
A geometry-optimized MnGaCu3 structure. Source: the Alexandria database, functional GGA-PBE.

Results
The relative energy among the computed polymorphs comes out at 1.25 eV per formula unit. Its size of the total moment is 4.22 μB/cell.

a b c (Å): 4.6151 4.6151 4.6151
angles (deg): 90.00 90.00 90.00
Last column: nearest neighbours and their distance in Å.
Space group Pm-3m (No. 221)
Inequivalent atoms, fractional coordinates:
Mn 0.0000 0.0000 0.0000 x1  6 Cu 2.31
Ga 0.5000 0.5000 0.5000 x1  12 Cu 3.26
Cu 0.0000 0.0000 0.5000 x3  2 Mn 2.31

=====

[16]
A geometry-optimized MnGaCu2 structure. Source: the Alexandria database, functional GGA-PBE.

Results
Its size of the total moment is 5.80 μB/cell.

a b c (Å): 2.6097 4.3534 10.0316
angles (deg): 90.00 90.00 90.00
Last column: nearest neighbours and their distance in Å.
Space group Immm (No. 71)
Inequivalent atoms, fractional coordinates:
Mn 0.0000 0.0000 0.0000 x2  2 Cu 2.51, 4 Ga 2.54, 2 Mn 2.61
Ga 0.0000 0.0000 0.5000 x2  2 Cu 2.51, 4 Mn 2.54, 2 Ga 2.61
Cu 0.0000 0.0000 0.2497 x4  1 Mn 2.51, 1 Ga 2.51, 6 Cu 2.54-2.61

=====

[17]
A geometry-optimized MnGaCu2 structure. Source: the Alexandria database, functional GGA-PBE.

Results
Its size of the total moment is 12.30 μB/cell.

a b c (Å): 3.5811 3.5811 17.8730
angles (deg): 90.00 90.00 90.00
Last column: nearest neighbours and their distance in Å.
Space group I-42d (No. 122)
Inequivalent atoms, fractional coordinates:
Mn 0.0000 0.0000 0.0000 x4  4 Ga 2.53, 4 Cu 2.57
Ga 0.0000 0.0000 0.5000 x4  4 Mn 2.53, 4 Cu 2.57
Cu 0.2486 0.2500 0.6250 x8  4 Cu 2.53-2.54, 2 Ga 2.57, 2 Mn 2.57

=====

[18]
A geometry-optimized MnGaCu structure. Source: the Alexandria database, functional GGA-PBE.

Results
Its size of the total moment is 5.42 μB/cell.

a b c (Å): 5.1704 2.6859 6.1659
angles (deg): 90.00 90.00 90.00
Last column: nearest neighbours and their distance in Å.
Space group Pmma (No. 51)
Inequivalent atoms, fractional coordinates:
Mn 0.0000 0.0000 0.0000 x2  4 Mn 2.59-2.69, 4 Cu 2.61, 4 Ga 2.63
Ga 0.2500 0.5000 0.3010 x2  3 Cu 2.48-2.59, 4 Mn 2.63, 2 Ga 2.69
Cu 0.2500 0.5000 0.7036 x2  3 Ga 2.48-2.59, 4 Mn 2.61, 2 Cu 2.69

=====

[19]
A geometry-optimized MnGaCu structure. Source: the Alexandria database, functional GGA-PBE.

Results
Its size of the total moment is 39.15 μB/cell.

a b c (Å): 7.1601 10.8792 6.4155
angles (deg): 90.00 90.00 90.00
Last column: nearest neighbours and their distance in Å.
Space group Ima2 (No. 46)
Inequivalent atoms, fractional coordinates:
Mn 0.2500 0.0121 0.0000 x4  5 Ga 2.57-2.79, 4 Cu 2.73-2.75
Mn 0.2500 0.2393 0.6845 x4  6 Ga 2.57-2.70, 2 Cu 2.83
Mn 0.2500 0.6910 0.1408 x4  4 Ga 2.57-2.63, 6 Cu 2.67-2.75
Ga 0.0109 0.6706 0.4378 x8  3 Cu 2.44-2.49, 6 Mn 2.57-2.65
Ga 0.2500 0.0579 0.4271 x4  6 Cu 2.46-2.49, 2 Mn 2.57-2.70
Cu 0.0000 0.0000 0.6789 x4  4 Ga 2.49, 4 Mn 2.73-2.75, 2 Cu 2.76
Cu 0.0631 0.6174 0.8033 x8  4 Ga 2.44-2.49, 2 Mn 2.67-2.69, 2 Cu 2.68-2.71

=====

[20]
A geometry-optimized MnGa6Cu12 structure. Source: the Alexandria database, functional GGA-PBE.

Results
Its size of the total moment is 8.38 μB/cell.

a b c (Å): 10.1877 10.1877 8.5152
angles (deg): 90.00 90.00 120.00
Last column: nearest neighbours and their distance in Å.
Space group R-3m (No. 166, hexagonal axes)
Inequivalent atoms, fractional coordinates:
Mn 0.0000 0.0000 0.0000 x3  6 Ga 2.65, 6 Cu 2.67
Ga 0.0887 0.1774 0.7490 x18  7 Cu 2.51-2.71, 1 Mn 2.65, 2 Ga 2.71
Cu 0.0000 0.2621 0.0000 x18  4 Ga 2.51-2.63, 6 Cu 2.55-2.70, 1 Mn 2.67
Cu 0.0669 0.5335 0.1221 x18  5 Cu 2.39-2.55, 1 Ga 2.62

=====

[21]
A geometry-optimized NpMnGa4Cu2 structure. Source: the Alexandria database, functional GGA-PBE.

Results
Its size of the total moment is 22.04 μB/cell.

a b c (Å): 4.2017 4.2017 26.0750
angles (deg): 90.00 90.00 120.00
Last column: nearest neighbours and their distance in Å.
Space group R-3m (No. 166, hexagonal axes)
Inequivalent atoms, fractional coordinates:
Np 0.0000 0.0000 0.0000 x3  8 Ga 2.98-3.32
Mn 0.0000 0.0000 0.5000 x3  8 Ga 2.62-2.63
Ga 0.0000 0.0000 0.1275 x6  4 Cu 2.56-2.85, 3 Mn 2.63
Ga 0.0000 0.0000 0.3997 x6  3 Cu 2.55, 1 Mn 2.62
Cu 0.0000 0.0000 0.2368 x6  7 Ga 2.55-2.85

=====

Listing energy of formation for the structures above in their given order: -0.04, 0.05, -0.03, 0.00, 0.44, 0.05, 0.08, 0.09, 0.72, 0.00, -0.03, 0.00, 0.00, 0.25, 0.97, 0.25, 0.23, 0.11, -0.02, -0.05, -0.03 eV per atom.